First-principles (GGA+U) data for crystalline ZrFePO2 at its relaxed geometry, as listed in Alexandria.

Lattice parameters (Å, degrees): 3.796 3.796 4.868 90.00 90.00 90.00
Space group P4/mmm (No. 123)
Asymmetric unit:
Zr1 0.000 0.000 0.000 (multiplicity 1)
Fe1 0.500 0.500 0.500 (multiplicity 1)
P1 0.500 0.500 0.000 (multiplicity 1)
O1 0.000 0.500 0.500 (multiplicity 2)

Output
Spin magnetization = 4.4 μB per cell
Total DFT energy (no corrections) = -33.700 eV per cell